An optimized crystal structure of PaIn2FeO8, computed with PBE with a Hubbard U. Values from VASP.

Geometry as Quantum ESPRESSO input:
```
&SYSTEM
  ibrav = 0, nat = 12, ntyp = 4
/
ATOMIC_SPECIES
O 16.00 O.upf
Pa 231.04 Pa.upf
In 114.82 In.upf
Fe 55.84 Fe.upf
CELL_PARAMETERS angstrom
4.9303 -0.0356 -0.0753
-0.0128 4.9312 0.0670
-0.0926 0.1046 6.6052
ATOMIC_POSITIONS angstrom
O 1.4106 1.4052 -0.0023
O 1.4645 1.5572 3.2999
O 0.8636 4.0538 1.5344
O 3.3605 3.4429 3.2969
O 3.4143 3.5950 6.5991
O 3.9787 0.9222 1.5100
O 0.8462 4.0779 5.0868
Pa -0.0463 0.0523 3.3026
In 2.4020 2.5133 5.0189
O 3.9613 0.9463 5.0624
In 2.4229 2.4868 1.5779
Fe 0.0000 0.0000 0.0000
```

Calculated values
VASP energy = -6.84 eV per atom
Density = 6.7 g/cm³
Space-group type = C2/m (12)